First-principles (PBE-GGA) data for a relaxed structure of Tl12ZnBi3, as listed in the Alexandria database.

Results
M_tot (μB per cell): 0.00
Crystal system: tetragonal
Energy of formation from the pure elements (eV per atom): 0.01
VASP energy (eV per atom): -2.5685

Cell and atoms, written as CIF:
```
data_Tl12ZnBi3
_chemical_formula_sum 'Tl12 Zn1 Bi3'
_cell_length_a 5.055
_cell_length_b 5.055
_cell_length_c 19.274
_cell_angle_alpha 90.00
_cell_angle_beta 90.00
_cell_angle_gamma 90.00
_space_group_name_H-M_alt 'P 1'
_space_group_IT_number 1
_space_group_name_Hall 'P 1'
loop_
_atom_site_label
_atom_site_type_symbol
_atom_site_fract_x
_atom_site_fract_y
_atom_site_fract_z
_atom_site_occupancy
Tl1 Tl 0.500 0.500 0.247 1
Tl2 Tl 0.500 0.000 0.881 1
Tl3 Tl 0.500 0.500 0.500 1
Tl4 Tl 0.500 0.000 0.372 1
Tl5 Tl 0.500 0.000 0.119 1
Tl6 Tl 0.000 0.500 0.119 1
Tl7 Tl 0.000 0.500 0.881 1
Tl8 Tl 0.000 0.500 0.628 1
Tl9 Tl 0.500 0.500 0.000 1
Tl10 Tl 0.000 0.500 0.372 1
Tl11 Tl 0.500 0.500 0.753 1
Tl12 Tl 0.500 0.000 0.628 1
Bi1 Bi 0.000 0.000 0.500 1
Bi2 Bi 0.000 0.000 0.240 1
Bi3 Bi 0.000 0.000 0.760 1
Zn1 Zn 0.000 0.000 0.000 1
```

First-principles (PBE-GGA) data for a relaxed structure of Al2ZnRh, as listed in the Alexandria database.

Results
M_tot (μB per cell): 0.00
Crystal system: tetragonal
Energy of formation from the pure elements (eV per atom): -0.49
VASP energy (eV per atom): -4.5164

Cell and atoms, written as CIF:
```
data_Al2ZnRh
_chemical_formula_sum 'Al2 Zn1 Rh1'
_cell_length_a 3.334
_cell_length_b 3.334
_cell_length_c 5.291
_cell_angle_alpha 90.00
_cell_angle_beta 90.00
_cell_angle_gamma 90.00
_space_group_name_H-M_alt 'P 1'
_space_group_IT_number 1
_space_group_name_Hall 'P 1'
loop_
_atom_site_label
_atom_site_type_symbol
_atom_site_fract_x
_atom_site_fract_y
_atom_site_fract_z
_atom_site_occupancy
Al1 Al 0.000 0.000 0.988 1
Al2 Al 0.500 0.500 0.275 1
Zn1 Zn 0.500 0.500 0.754 1
Rh1 Rh 0.000 0.000 0.483 1
```

First-principles (PBE-GGA) data for a relaxed structure of TaMnSi3, as listed in the Alexandria database.

Results
M_tot (μB per cell): 0.46
Crystal system: cubic
VASP energy (eV per atom): -5.9807

Cell and atoms, written as CIF:
```
data_TaMnSi3
_chemical_formula_sum 'Ta1 Mn1 Si3'
_cell_length_a 4.819
_cell_length_b 4.819
_cell_length_c 4.819
_cell_angle_alpha 90.00
_cell_angle_beta 90.00
_cell_angle_gamma 90.00
_space_group_name_H-M_alt 'P 1'
_space_group_IT_number 1
_space_group_name_Hall 'P 1'
loop_
_atom_site_label
_atom_site_type_symbol
_atom_site_fract_x
_atom_site_fract_y
_atom_site_fract_z
_atom_site_occupancy
Si1 Si 0.000 0.000 0.500 1
Si2 Si 0.000 0.500 0.000 1
Si3 Si 0.500 0.000 0.000 1
Mn1 Mn 0.500 0.500 0.500 1
Ta1 Ta 0.000 0.000 0.000 1
```